Record 1
Density functional theory data (GGA-PBE) for a geometry-optimized UOsW structure.

Properties
Calculated volume: 61.2 Å³ per cell
ΔE to the lowest computed polymorph: 1.00 eV/f.u.
Calculated total energy: -32.5 eV per formula unit
Space-group type: F-43m
Spin magnetization: 0.0 μB per formula unit
Formation energy: 1.010 eV per atom

Unit cell a=4.4236 b=4.4236 c=4.4236 alpha=60.00 beta=60.00 gamma=60.00
Fractional coordinates of all 3 atoms:
U  0.0000  0.0000  0.0000
Os  0.7500  0.7500  0.7500
W  0.2500  0.2500  0.2500

Record 2
Density functional theory data (GGA-PBE) for a geometry-optimized UOsW structure.

Properties
Calculated volume: 62.8 Å³ per cell
ΔE to the lowest computed polymorph: 0.00 eV/f.u.
Calculated total energy: -33.5 eV per formula unit
Space-group type: F-43m
Spin magnetization: 1.7 μB per formula unit
Formation energy: 0.676 eV per atom

Unit cell a=4.4608 b=4.4608 c=4.4608 alpha=60.00 beta=60.00 gamma=60.00
Fractional coordinates of all 3 atoms:
W  0.7500  0.7500  0.7500
U  0.2500  0.2500  0.2500
Os  0.0000  0.0000  0.0000

Record 3
Density functional theory data (GGA-PBE) for a geometry-optimized UZnOs structure.

Properties
Calculated volume: 62.7 Å³ per cell
Calculated total energy: -22.9 eV per formula unit
Space-group type: F-43m
Spin magnetization: 1.9 μB per formula unit
Formation energy: 0.290 eV per atom

Unit cell a=4.4601 b=4.4601 c=4.4601 alpha=60.00 beta=60.00 gamma=60.00
Fractional coordinates of all 3 atoms:
Zn  0.7500  0.7500  0.7500
U  0.2500  0.2500  0.2500
Os  0.0000  0.0000  0.0000

Record 4
Density functional theory data (GGA-PBE) for a geometry-optimized UZn20Os2 structure.

Properties
Calculated volume: 719.4 Å³ per cell
Calculated total energy: -60.6 eV per formula unit
Space-group type: Fd-3m
Spin magnetization: 0.1 μB per formula unit
Formation energy: -0.068 eV per atom

Unit cell a=10.0575 b=10.0575 c=10.0575 alpha=60.00 beta=60.00 gamma=60.00
Last column: magnetic moment on the atom in μB.
Fractional coordinates of all 46 atoms:
Zn  0.4212  0.9487  0.9487  0.00
Zn  0.9487  0.9487  0.4212  0.00
Zn  0.6813  0.9487  0.9487  0.00
Zn  0.1371  0.8629  0.1371  0.00
Zn  0.4212  0.9487  0.6813  0.00
Zn  0.1129  0.3871  0.3871  0.00
Zn  0.9487  0.6813  0.4212  0.00
Zn  0.3013  0.5687  0.8288  0.00
U  0.7500  0.7500  0.7500  0.06
Zn  0.9487  0.6813  0.9487  0.00
Zn  0.3013  0.3013  0.8288  0.00
Zn  0.1250  0.6250  0.6250  0.00
Zn  0.8629  0.8629  0.1371  0.00
Zn  0.1371  0.1371  0.8629  0.00
Zn  0.8288  0.3013  0.3013  0.00
Zn  0.5687  0.3013  0.8288  0.00
Zn  0.9487  0.4212  0.6813  0.00
Os  0.1250  0.1250  0.6250  0.01
Zn  0.1129  0.1129  0.3871  0.00
Zn  0.3871  0.1129  0.1129  0.00
Zn  0.1129  0.3871  0.1129  0.00
Zn  0.6250  0.6250  0.1250  0.00
Zn  0.3013  0.8288  0.3013  0.00
Zn  0.3871  0.1129  0.3871  0.00
Zn  0.6813  0.4212  0.9487  0.00
Zn  0.6250  0.6250  0.6250  0.00
Zn  0.8629  0.1371  0.8629  0.00
Zn  0.9487  0.9487  0.6813  0.00
U  0.5000  0.5000  0.5000  0.06
Zn  0.1371  0.8629  0.8629  0.00
Os  0.1250  0.6250  0.1250  0.00
Zn  0.5687  0.3013  0.3013  0.00
Zn  0.8288  0.5687  0.3013  0.00
Zn  0.5687  0.8288  0.3013  0.00
Zn  0.8288  0.3013  0.5687  0.00
Zn  0.8629  0.1371  0.1371  0.00
Zn  0.3013  0.8288  0.5687  0.00
Os  0.1250  0.1250  0.1250  0.01
Zn  0.6250  0.1250  0.6250  0.00
Zn  0.9487  0.4212  0.9487  0.00
Os  0.6250  0.1250  0.1250  0.00
Zn  0.6813  0.9487  0.4212  0.00
Zn  0.3871  0.3871  0.1129  0.00
Zn  0.3013  0.3013  0.5687  0.00
Zn  0.3013  0.5687  0.3013  0.00
Zn  0.4212  0.6813  0.9487  0.00

Record 5
Density functional theory data (GGA-PBE) for a geometry-optimized UZnOs structure.

Properties
Calculated volume: 65.5 Å³ per cell
Calculated total energy: -21.3 eV per formula unit
Space-group type: F-43m
Spin magnetization: 1.6 μB per formula unit
Formation energy: 0.843 eV per atom

Unit cell a=4.5252 b=4.5252 c=4.5252 alpha=60.00 beta=60.00 gamma=60.00
Fractional coordinates of all 3 atoms:
Zn  0.7500  0.7500  0.7500
Os  0.2500  0.2500  0.2500
U  0.0000  0.0000  0.0000

Record 6
Density functional theory data (GGA-PBE) for a geometry-optimized OsW structure.

Properties
Calculated volume: 45.9 Å³ per cell
Calculated total energy: -21.2 eV per formula unit
Space-group type: F-43m
Spin magnetization: 0.0 μB per formula unit
Formation energy: 1.483 eV per atom

Unit cell a=4.0180 b=4.0180 c=4.0180 alpha=60.00 beta=60.00 gamma=60.00
Fractional coordinates of all 2 atoms:
Os  0.0000  0.0000  0.0000
W  0.2500  0.2500  0.2500

Record 7
Density functional theory data (GGA-PBE) for a geometry-optimized Os3W structure.

Properties
Calculated volume: 353.6 Å³ per cell
Calculated total energy: -46.6 eV per formula unit
Space-group type: Pmmn
Spin magnetization: 0.0 μB per formula unit
Formation energy: 0.012 eV per atom

Unit cell a=5.5084 b=13.3825 c=4.7970 alpha=90.00 beta=90.00 gamma=90.00
Fractional coordinates of all 24 atoms:
W  0.5000  0.8375  0.3380
W  0.0000  0.6625  0.6620
Os  0.0000  0.8340  0.3384
Os  0.2511  0.5000  0.4949
Os  0.5000  0.6660  0.6616
Os  0.0000  0.1660  0.3384
Os  0.7511  0.0000  0.5051
Os  0.2520  0.6657  0.1642
Os  0.7520  0.1657  0.8358
Os  0.7520  0.8343  0.8358
Os  0.5000  0.0000  0.9999
Os  0.2480  0.8343  0.8358
Os  0.2520  0.3343  0.1642
Os  0.2480  0.1657  0.8358
Os  0.2489  0.0000  0.5051
Os  0.7480  0.3343  0.1642
W  0.5000  0.5000  0.9910
W  0.0000  0.0000  0.0090
W  0.5000  0.1625  0.3380
Os  0.7480  0.6657  0.1642
Os  0.0000  0.5000  0.0001
Os  0.5000  0.3340  0.6616
Os  0.7489  0.5000  0.4949
W  0.0000  0.3375  0.6620

Record 8
Density functional theory data (GGA-PBE) for a geometry-optimized Os3W structure.

Properties
Calculated volume: 117.4 Å³ per cell
Calculated total energy: -46.9 eV per formula unit
Space-group type: P6_3/mmc
Spin magnetization: 0.0 μB per formula unit
Formation energy: -0.059 eV per atom

Unit cell a=5.5437 b=5.5437 c=4.4096 alpha=90.00 beta=90.00 gamma=120.00
Fractional coordinates of all 8 atoms:
W  0.0000  0.0000  0.0000
Os  0.6659  0.8330  0.5000
Os  0.1670  0.8330  0.5000
W  0.6667  0.3333  0.5000
Os  0.1670  0.3341  0.5000
Os  0.0010  0.5005  0.0000
Os  0.4995  0.5005  0.0000
Os  0.4995  0.9990  0.0000

Record 9
Density functional theory data (GGA-PBE) for a geometry-optimized OsW structure.

Properties
Calculated volume: 30.4 Å³ per cell
Calculated total energy: -24.0 eV per formula unit
Space-group type: P-6m2
Spin magnetization: 0.0 μB per formula unit
Formation energy: 0.099 eV per atom

Unit cell a=2.7943 b=2.7943 c=4.4919 alpha=90.00 beta=90.00 gamma=120.00
Fractional coordinates of all 2 atoms:
W  0.3333  0.6667  0.2500
Os  0.6667  0.3333  0.7500

Record 10
Density functional theory data (GGA-PBE) for a geometry-optimized Os3W structure.

Properties
Calculated volume: 117.5 Å³ per cell
Calculated total energy: -46.9 eV per formula unit
Space-group type: P6_3/mmc
Spin magnetization: 0.0 μB per formula unit
Formation energy: -0.059 eV per atom

Unit cell a=5.5468 b=5.5468 c=4.4082 alpha=90.00 beta=90.00 gamma=120.00
Fractional coordinates of all 8 atoms:
Os  0.8337  0.6674  0.2500
W  0.3333  0.6667  0.2500
Os  0.8337  0.1663  0.2500
W  0.6667  0.3333  0.7500
Os  0.6674  0.8337  0.7500
Os  0.1663  0.8337  0.7500
Os  0.3326  0.1663  0.2500
Os  0.1663  0.3326  0.7500

Record 11
Density functional theory data (GGA-PBE) for a geometry-optimized OsW3 structure.

Properties
Calculated volume: 63.6 Å³ per cell
Calculated total energy: -49.1 eV per formula unit
Space-group type: Imm2
Spin magnetization: 0.0 μB per formula unit
Formation energy: 0.255 eV per atom

Unit cell a=5.4258 b=5.4258 c=5.4258 alpha=149.11 beta=61.26 gamma=128.51
Fractional coordinates of all 4 atoms:
Os  0.3471  0.3471  0.0000
W  0.2481  0.9808  0.2673
W  0.7135  0.9808  0.7327
W  0.8578  0.3578  0.5000

Record 12
Density functional theory data (GGA-PBE) for a geometry-optimized ZnOsW structure.

Properties
Calculated volume: 53.0 Å³ per cell
ΔE to the lowest computed polymorph: 0.64 eV/f.u.
Calculated total energy: -23.3 eV per formula unit
Space-group type: F-43m
Spin magnetization: 0.0 μB per formula unit
Formation energy: 0.712 eV per atom

Unit cell a=4.2166 b=4.2166 c=4.2166 alpha=60.00 beta=60.00 gamma=60.00
Fractional coordinates of all 3 atoms:
W  0.0000  0.0000  0.0000
Zn  0.7500  0.7500  0.7500
Os  0.2500  0.2500  0.2500